# 1
4
Lattice="-4.243 1.091 -3.742 -1.700 -4.079 -3.696 -5.138 -2.521 0.656" Properties=species:S:1:pos:R:3 comment="AcEu2Ag PBE-GGA relaxed" delta_e_f_ev_per_atom=0.14 total_energy_ev_per_atom=-6.73 pbc="T T T"
Eu -8.311 -4.132 -5.087
Eu -2.770 -1.377 -1.696
Ac 0.000 0.000 0.000
Ag -5.540 -2.755 -3.391

---

# 2
4
Lattice="3.880 0.000 0.000 0.000 3.880 0.000 0.000 0.000 9.451" Properties=species:S:1:pos:R:3 comment="AcEu2Ag PBE-GGA relaxed" delta_e_f_ev_per_atom=-0.12 total_energy_ev_per_atom=-7.00 pbc="T T T"
Ac 1.940 1.940 4.725
Eu 0.000 0.000 7.616
Eu 0.000 0.000 1.834
Ag 1.940 1.940 0.000

---

# 3
4
Lattice="5.785 0.000 0.000 0.000 4.882 0.000 0.000 0.000 4.882" Properties=species:S:1:pos:R:3 comment="AcEu2Ag PBE-GGA relaxed" delta_e_f_ev_per_atom=0.01 total_energy_ev_per_atom=-6.86 pbc="T T T"
Ac 2.892 2.441 2.441
Ag 2.892 0.000 0.000
Eu 0.000 2.441 0.000
Eu 0.000 0.000 2.441

---

# 4
4
Lattice="-3.117 2.182 -0.609 -2.693 0.318 2.737 3.795 10.292 5.249" Properties=species:S:1:pos:R:3 comment="AcEu2Ag PBE-GGA relaxed" delta_e_f_ev_per_atom=0.10 total_energy_ev_per_atom=-6.78 pbc="T T T"
Ac 0.000 0.000 0.000
Ag -1.008 6.396 3.689
Eu -4.024 5.448 3.543
Eu 2.008 7.344 3.834